Entry from Alexandria: Hg2PbS2Br2 after structural relaxation (PBE).

Energy relative to the elements, uncorrected ... -3.3 eV/f.u.
E ... -2.74 eV per atom

abc: 8.136 9.953 12.758
angles: 57.46 90.00 90.00
Fractional positions:
Hg 0.807 0.419 0.619
Hg 0.043 0.745 0.621
Hg 0.957 0.255 0.379
Hg 0.693 0.419 0.119
Hg 0.307 0.581 0.881
Hg 0.457 0.745 0.121
Hg 0.193 0.581 0.381
Hg 0.543 0.255 0.879
Pb 0.085 0.135 0.084
Pb 0.585 0.865 0.416
Pb 0.915 0.865 0.916
Pb 0.415 0.135 0.584
S 0.913 0.685 0.483
S 0.828 0.169 0.256
S 0.087 0.315 0.517
S 0.413 0.315 0.017
S 0.328 0.831 0.244
S 0.172 0.831 0.744
S 0.587 0.685 0.983
S 0.672 0.169 0.756
Br 0.695 0.921 0.615
Br 0.910 0.417 0.889
Br 0.590 0.417 0.389
Br 0.305 0.079 0.385
Br 0.195 0.079 0.885
Br 0.805 0.921 0.115
Br 0.090 0.583 0.111
Br 0.410 0.583 0.611



Entry from Alexandria: InCuSi4 after structural relaxation (PBE).

Energy relative to the elements, uncorrected ... 3.2 eV/f.u.
E ... -4.22 eV per atom

abc: 5.219 5.219 5.219
angles: 60.00 60.00 60.00
Fractional positions:
In 0.000 0.000 0.000
Cu 0.750 0.750 0.750
Si 0.873 0.376 0.376
Si 0.376 0.376 0.873
Si 0.376 0.873 0.376
Si 0.376 0.376 0.376



Entry from Alexandria: BeBPb2 after structural relaxation (PBE).

Polymorph energy (0 for the lowest one) ... 0.2170 eV per atom
E ... -3.24 eV per atom
ΔH_f (0 K) ... 1211 meV per atom

abc: 4.836 4.836 4.836
angles: 60.00 60.00 60.00
Fractional positions:
Pb 0.250 0.250 0.250
Pb 0.750 0.750 0.750
Be 0.000 0.000 0.000
B 0.500 0.500 0.500



Entry from Alexandria: Sr2In3Ag after structural relaxation (PBE).

Polymorph energy (0 for the lowest one) ... 0.0277 eV per atom
E ... -2.80 eV per atom
ΔH_f (0 K) ... -397 meV per atom

abc: 6.434 6.434 10.138
angles: 113.12 113.12 76.26
Fractional positions:
Sr 0.750 0.250 0.500
Sr 0.747 0.253 0.000
Sr 0.250 0.750 0.500
Sr 0.253 0.747 0.000
In 0.831 0.831 0.171
In 0.661 0.661 0.829
In 0.169 0.169 0.829
In 0.339 0.339 0.171
In 0.170 0.170 0.340
In 0.830 0.830 0.660
Ag 0.667 0.667 0.334
Ag 0.333 0.333 0.666



Entry from Alexandria: Ce2ZrIr after structural relaxation (PBE).

E ... -7.22 eV per atom
ΔH_f (0 K) ... 104 meV per atom

abc: 3.518 3.518 9.974
angles: 79.84 79.84 60.00
Fractional positions:
Ir 0.500 0.500 0.500
Zr 0.000 0.000 0.000
Ce 0.101 0.101 0.697
Ce 0.899 0.899 0.303



Entry from Alexandria: DyEr2Pt2 after structural relaxation (PBE).

Polymorph energy (0 for the lowest one) ... 0.0645 eV per atom
E ... -6.19 eV per atom
ΔH_f (0 K) ... -1027 meV per atom

abc: 3.751 4.614 13.867
angles: 90.00 97.77 90.00
Fractional positions:
Dy 0.364 0.250 0.728
Dy 0.636 0.750 0.272
Er 0.051 0.250 0.102
Er 0.949 0.750 0.898
Er 0.731 0.250 0.462
Er 0.269 0.750 0.538
Pt 0.157 0.250 0.313
Pt 0.843 0.750 0.687
Pt 0.467 0.250 0.934
Pt 0.533 0.750 0.066



Entry from Alexandria: CdIr2 after structural relaxation (PBE).

E ... -5.37 eV per atom
ΔH_f (0 K) ... 844 meV per atom

abc: 5.198 5.198 5.198
angles: 103.29 103.29 122.71
Fractional positions:
Cd 0.750 0.750 0.000
Cd 0.250 0.250 0.000
Ir 0.366 0.866 0.233
Ir 0.866 0.634 0.500
Ir 0.134 0.366 0.500
Ir 0.634 0.134 0.767



Entry from Alexandria: Dy3In2Au2 after structural relaxation (PBE).

E ... -4.35 eV per atom
ΔH_f (0 K) ... -656 meV per atom

abc: 4.464 3.534 11.144
angles: 90.00 78.45 90.00
Fractional positions:
Dy 0.835 0.000 0.331
Dy 0.000 0.000 0.000
Dy 0.165 0.000 0.669
In 0.578 0.500 0.845
In 0.422 0.500 0.155
Au 0.711 0.500 0.578
Au 0.289 0.500 0.422



Entry from Alexandria: YHoS3 after structural relaxation (PBE).

Energy relative to the elements, uncorrected ... -9.6 eV/f.u.
E ... -6.61 eV per atom

abc: 6.665 6.665 7.702
angles: 64.36 64.36 60.00
Fractional positions:
Y 0.347 0.347 0.958
Y 0.653 0.653 0.042
Ho 0.153 0.153 0.540
Ho 0.847 0.847 0.460
S 0.247 0.952 0.251
S 0.952 0.550 0.251
S 0.550 0.247 0.251
S 0.753 0.450 0.749
S 0.048 0.753 0.749
S 0.450 0.048 0.749



Entry from Alexandria: PuInS2O after structural relaxation (PBE).

Energy relative to the elements, uncorrected ... -8.0 eV/f.u.
E ... -7.65 eV per atom

abc: 3.855 3.855 13.195
angles: 90.00 90.00 90.00
Fractional positions:
Pu 0.500 0.000 0.596
Pu 0.000 0.500 0.404
In 0.500 0.000 0.113
In 0.000 0.500 0.887
S 0.000 0.500 0.695
S 0.000 0.500 0.097
S 0.500 0.000 0.903
S 0.500 0.000 0.305
O 0.000 0.000 0.500
O 0.500 0.500 0.500



Entry from Alexandria: NaZr after structural relaxation (PBE).

Polymorph energy (0 for the lowest one) ... 2.2096 eV per atom
E ... -2.54 eV per atom
ΔH_f (0 K) ... 2392 meV per atom

abc: 6.843 6.843 6.843
angles: 90.00 90.00 90.00
Fractional positions:
Na 0.250 0.250 0.250
Na 0.250 0.750 0.750
Na 0.750 0.250 0.750
Na 0.750 0.750 0.250
Zr 0.000 0.000 0.000
Zr 0.000 0.500 0.500
Zr 0.500 0.000 0.500
Zr 0.500 0.500 0.000



Entry from Alexandria: Ce3Mg2Rh4 after structural relaxation (PBE).

Polymorph energy (0 for the lowest one) ... 0.0000 eV per atom
E ... -6.22 eV per atom
ΔH_f (0 K) ... -616 meV per atom

abc: 7.136 7.136 3.950
angles: 90.00 90.00 114.34
Fractional positions:
Ce 0.417 0.417 0.000
Ce 0.613 0.962 0.000
Ce 0.962 0.613 0.000
Mg 0.256 0.994 0.500
Mg 0.994 0.256 0.500
Rh 0.313 0.641 0.500
Rh 0.641 0.313 0.500
Rh 0.036 0.036 0.000
Rh 0.768 0.768 0.500



Entry from Alexandria: TbTmTlIr after structural relaxation (PBE).

Polymorph energy (0 for the lowest one) ... 0.0000 eV per atom
E ... -5.71 eV per atom
ΔH_f (0 K) ... -624 meV per atom

abc: 3.448 3.448 8.034
angles: 90.00 90.00 90.00
Fractional positions:
Tb 0.500 0.500 0.777
Tm 0.500 0.500 0.367
Tl 0.000 0.000 0.077
Ir 0.000 0.000 0.565



Entry from Alexandria: TiPdCl3 after structural relaxation (PBE).

Energy relative to the elements, uncorrected ... -0.5 eV/f.u.
Polymorph energy (0 for the lowest one) ... 0.4827 eV per atom
E ... -3.83 eV per atom

abc: 4.900 4.900 4.900
angles: 90.00 90.00 90.00
Fractional positions:
Cl 0.000 0.500 0.000
Cl 0.000 0.000 0.500
Cl 0.500 0.000 0.000
Pd 0.000 0.000 0.000
Ti 0.500 0.500 0.500



Entry from Alexandria: KPr2Ho after structural relaxation (PBE).

E ... -3.63 eV per atom
ΔH_f (0 K) ... 182 meV per atom

abc: 3.673 3.673 13.647
angles: 82.27 82.27 60.00
Fractional positions:
Pr 0.096 0.096 0.712
Pr 0.904 0.904 0.288
K 0.000 0.000 0.000
Ho 0.500 0.500 0.500



Entry from Alexandria: PaMnOs2 after structural relaxation (PBE).

Polymorph energy (0 for the lowest one) ... 0.0938 eV per atom
E ... -10.30 eV per atom
ΔH_f (0 K) ... -14 meV per atom

abc: 2.988 2.988 7.291
angles: 90.00 90.00 90.00
Fractional positions:
Pa 0.500 0.500 0.500
Os 0.000 0.000 0.800
Os 0.000 0.000 0.200
Mn 0.500 0.500 0.000



Entry from Alexandria: NaTh5Sb6 after structural relaxation (PBE).

Energy relative to the elements, uncorrected ... -10.0 eV/f.u.
E ... -6.09 eV per atom

abc: 7.817 7.828 7.809
angles: 59.92 80.42 70.61
Fractional positions:
Na 0.000 0.000 0.000
Th 0.500 0.164 0.671
Th 0.000 0.333 0.333
Th 0.500 0.500 0.000
Th 0.000 0.667 0.667
Th 0.500 0.836 0.329
Sb 0.750 0.084 0.333
Sb 0.250 0.583 0.333
Sb 0.247 0.250 0.000
Sb 0.753 0.750 0.000
Sb 0.750 0.417 0.667
Sb 0.250 0.916 0.667



Entry from Alexandria: Mn2CoSi after structural relaxation (PBE).

Energy relative to the elements, uncorrected ... -0.3 eV/f.u.
E ... -7.80 eV per atom

abc: 7.894 7.894 7.894
angles: 18.57 18.57 18.57
Fractional positions:
Co 0.753 0.753 0.753
Mn 0.999 0.999 0.999
Mn 0.250 0.250 0.250
Si 0.499 0.499 0.499



Entry from Alexandria: BaSc2Mn after structural relaxation (PBE).

Polymorph energy (0 for the lowest one) ... 0.3169 eV per atom
E ... -5.38 eV per atom
ΔH_f (0 K) ... 555 meV per atom

abc: 5.527 5.527 5.527
angles: 125.05 125.05 81.45
Fractional positions:
Ba 0.500 0.500 0.000
Mn 0.750 0.250 0.500
Sc 0.000 0.000 0.000
Sc 0.250 0.750 0.500



Entry from Alexandria: PuFeRh2 after structural relaxation (PBE).

E ... -9.55 eV per atom
ΔH_f (0 K) ... -180 meV per atom

abc: 3.072 3.072 7.029
angles: 90.00 90.00 90.00
Fractional positions:
Rh 0.000 0.000 0.794
Rh 0.000 0.000 0.206
Fe 0.500 0.500 0.000
Pu 0.500 0.500 0.500